# 1
Cd3Cu4, relaxed, DFT PBE-GGA; DOS(E_F) = 2.52 states/eV/cell; space group = No. 215; calculated formation energy = 2.77 eV per formula unit
1.0
5.233 0.000 0.000
0.000 5.233 0.000
0.000 0.000 5.233
Cd Cu
3 4
Direct
0.000 0.000 0.500
0.000 0.500 0.000
0.500 0.000 0.000
0.336 0.336 0.336
0.336 0.664 0.664
0.664 0.336 0.664
0.664 0.664 0.336

---

# 2
CdCu5, relaxed, DFT PBE-GGA; DOS(E_F) = 1.54 states/eV/cell; space group = No. 189; calculated formation energy = 0.32 eV per formula unit
1.0
4.688 0.000 0.000
-2.344 4.060 0.000
0.000 0.000 4.249
Cd Cu
1 5
Direct
0.000 0.000 0.000
0.000 0.627 0.500
0.333 0.667 0.000
0.373 0.373 0.500
0.627 0.000 0.500
0.667 0.333 0.000

---

Which formula does entry 1 have? Cd3Cu4